1.
# PBE Ti6Sn3Bi, optimized geometry
# - M_tot: 0.005 Bohr magnetons per cell
# - N(E_F): 49.14 states/eV/cell
# - Energy relative to the elements: -0.10 eV/atom
# - E: -6.427 eV per atom
data_Ti6Sn3Bi
_cell_length_a 8.7941
_cell_length_b 13.2650
_cell_length_c 7.1161
_cell_angle_alpha 90.00
_cell_angle_beta 90.00
_cell_angle_gamma 90.00
_symmetry_space_group_name_H-M 'C m c 21'
_symmetry_Int_Tables_number 36
_symmetry_space_group_name_Hall 'C 2c -2'
loop_
_atom_site_label
_atom_site_type_symbol
_atom_site_fract_x
_atom_site_fract_y
_atom_site_fract_z
Ti1 Ti 0.0000 0.0368 0.0000
Ti2 Ti 0.0000 0.2823 0.8434
Ti3 Ti 0.2156 0.4335 0.8428
Ti4 Ti 0.2300 0.2948 0.5277
Sn1 Sn 0.0000 0.4478 0.5405
Sn2 Sn 0.1776 0.1119 0.6975
Bi1 Bi 0.0000 0.1957 0.2679

=====

2.
# PBE KTiMnPt2, optimized geometry
# - M_tot: 0.001 Bohr magnetons per cell
# - N(E_F): 12.15 states/eV/cell
# - Energy relative to the elements: 1.17 eV/atom
# - E: -4.883 eV per atom
data_KTiMnPt2
_cell_length_a 4.6773
_cell_length_b 4.6773
_cell_length_c 4.6625
_cell_angle_alpha 90.00
_cell_angle_beta 90.00
_cell_angle_gamma 90.00
_symmetry_space_group_name_H-M 'P 4/m m m'
_symmetry_Int_Tables_number 123
_symmetry_space_group_name_Hall '-P 4 2'
loop_
_atom_site_label
_atom_site_type_symbol
_atom_site_fract_x
_atom_site_fract_y
_atom_site_fract_z
K1 K 0.0000 0.0000 0.0000
Ti1 Ti 0.5000 0.5000 0.0000
Mn1 Mn 0.0000 0.0000 0.5000
Pt1 Pt 0.0000 0.5000 0.5000

=====

3.
# PBE Na2NdYTe4, optimized geometry
# - M_tot: 0.000 Bohr magnetons per cell
# - Raw formation energy: -1328 meV per atom
# - E: -4.632 eV per atom
data_Na2NdYTe4
_cell_length_a 7.7775
_cell_length_b 4.4920
_cell_length_c 8.0028
_cell_angle_alpha 90.00
_cell_angle_beta 108.91
_cell_angle_gamma 90.00
_symmetry_space_group_name_H-M 'P 1 2/m 1'
_symmetry_Int_Tables_number 10
_symmetry_space_group_name_Hall '-P 2y'
loop_
_atom_site_label
_atom_site_type_symbol
_atom_site_fract_x
_atom_site_fract_y
_atom_site_fract_z
Na1 Na 0.0000 0.0000 0.0000
Na2 Na 0.5000 0.5000 0.0000
Nd1 Nd 0.0000 0.5000 0.5000
Y1 Y 0.5000 0.0000 0.5000
Te1 Te 0.2523 0.0000 0.7375
Te2 Te 0.2617 0.5000 0.2659

=====

4.
# PBE BeCoP2S, optimized geometry
# - M_tot: 1.504 Bohr magnetons per cell
# - Distance to the lowest polymorph of the same formula: 208 meV/atom
# - Raw formation energy: 988 meV per atom
# - N(E_F): 4.70 states/eV/cell
# - E: -4.167 eV per atom
data_BeCoP2S
_cell_length_a 4.6587
_cell_length_b 4.6587
_cell_length_c 3.6570
_cell_angle_alpha 90.00
_cell_angle_beta 90.00
_cell_angle_gamma 90.00
_symmetry_space_group_name_H-M 'P 4/m m m'
_symmetry_Int_Tables_number 123
_symmetry_space_group_name_Hall '-P 4 2'
loop_
_atom_site_label
_atom_site_type_symbol
_atom_site_fract_x
_atom_site_fract_y
_atom_site_fract_z
Be1 Be 0.0000 0.0000 0.0000
Co1 Co 0.5000 0.5000 0.0000
P1 P 0.0000 0.5000 0.5000
S1 S 0.0000 0.0000 0.5000

=====

- The lowest E belongs to which entry?
  Ti6Sn3Bi

=====

Copy entry 2 word for word.
# PBE KTiMnPt2, optimized geometry
# - M_tot: 0.001 Bohr magnetons per cell
# - N(E_F): 12.15 states/eV/cell
# - Energy relative to the elements: 1.17 eV/atom
# - E: -4.883 eV per atom
data_KTiMnPt2
_cell_length_a 4.6773
_cell_length_b 4.6773
_cell_length_c 4.6625
_cell_angle_alpha 90.00
_cell_angle_beta 90.00
_cell_angle_gamma 90.00
_symmetry_space_group_name_H-M 'P 4/m m m'
_symmetry_Int_Tables_number 123
_symmetry_space_group_name_Hall '-P 4 2'
loop_
_atom_site_label
_atom_site_type_symbol
_atom_site_fract_x
_atom_site_fract_y
_atom_site_fract_z
K1 K 0.0000 0.0000 0.0000
Ti1 Ti 0.5000 0.5000 0.0000
Mn1 Mn 0.0000 0.0000 0.5000
Pt1 Pt 0.0000 0.5000 0.5000

=====

Repeat the second record exactly.
# PBE KTiMnPt2, optimized geometry
# - M_tot: 0.001 Bohr magnetons per cell
# - N(E_F): 12.15 states/eV/cell
# - Energy relative to the elements: 1.17 eV/atom
# - E: -4.883 eV per atom
data_KTiMnPt2
_cell_length_a 4.6773
_cell_length_b 4.6773
_cell_length_c 4.6625
_cell_angle_alpha 90.00
_cell_angle_beta 90.00
_cell_angle_gamma 90.00
_symmetry_space_group_name_H-M 'P 4/m m m'
_symmetry_Int_Tables_number 123
_symmetry_space_group_name_Hall '-P 4 2'
loop_
_atom_site_label
_atom_site_type_symbol
_atom_site_fract_x
_atom_site_fract_y
_atom_site_fract_z
K1 K 0.0000 0.0000 0.0000
Ti1 Ti 0.5000 0.5000 0.0000
Mn1 Mn 0.0000 0.0000 0.5000
Pt1 Pt 0.0000 0.5000 0.5000